# FeSiF2 | the Alexandria database | PBE with a Hubbard U | relaxed
# Distance to the lowest polymorph of the same formula (meV per atom): 0
data_FeSiF2
_cell_length_a 2.9010
_cell_length_b 2.9010
_cell_length_c 27.2368
_cell_angle_alpha 90.00
_cell_angle_beta 90.00
_cell_angle_gamma 120.00
_symmetry_space_group_name_H-M 'R -3 m'
_symmetry_Int_Tables_number 166
_symmetry_space_group_name_Hall '-R 3 2"'
loop_
_atom_site_label
_atom_site_fract_x
_atom_site_fract_y
_atom_site_fract_z
Fe1 0.0000 0.0000 0.0000
Si1 0.0000 0.0000 0.5000
F1 0.0000 0.0000 0.3780